Run P
Here is crystalline MgFe2Cu2 at its relaxed geometry from the Alexandria database. Energies are from PBE.

Its size of the total moment is 5.26 μB/f.u.

The structure belongs to space group P4/mbm (No. 127); the cell edges are 7.2011, 7.2011 and 2.6467 Å and the angles 90.00°, 90.00° and 90.00°. The distinct sites, in fractional coordinates, are Mg at (0.0000, 0.0000, 0.0000), Fe at (0.1150, 0.3850, 0.0000) and Cu at (0.1785, 0.6785, 0.5000).



Run Q
Here is crystalline MgFe2Cu2 at its relaxed geometry from the Alexandria database. Energies are from PBE.

Its size of the total moment is 5.23 μB/f.u.

The structure belongs to space group I4/mmm (No. 139); the cell edges are 3.5096, 3.5096 and 11.6772 Å and the angles 90.00°, 90.00° and 90.00°. The distinct sites, in fractional coordinates, are Mg at (0.0000, 0.0000, 0.0000), Fe at (0.0000, 0.5000, 0.2500) and Cu at (0.0000, 0.0000, 0.3993).



Most stable structure, least stable structure: run P, run Q.



Run P
Here is crystalline Mn2FeCu2 at its relaxed geometry from the Alexandria database. Energies are from PBE.

Its size of the total moment is 4.76 μB/f.u.

The structure belongs to space group I4/mmm (No. 139); the cell edges are 3.3614, 3.3614 and 11.3533 Å and the angles 90.00°, 90.00° and 90.00°. The distinct sites, in fractional coordinates, are Mn at (0.0000, 0.0000, 0.0870), Fe at (0.0000, 0.0000, 0.5000) and Cu at (0.0000, 0.5000, 0.2500).



Run Q
Here is crystalline Mn2FeCu2 at its relaxed geometry from the Alexandria database. Energies are from PBE.

Its size of the total moment is 0.00 μB/f.u.

The structure belongs to space group P4/mbm (No. 127); the cell edges are 6.5251, 6.5251 and 2.8077 Å and the angles 90.00°, 90.00° and 90.00°. The distinct sites, in fractional coordinates, are Mn at (0.1062, 0.3938, 0.0000), Fe at (0.0000, 0.0000, 0.0000) and Cu at (0.1898, 0.6898, 0.5000).



Most stable structure, least stable structure: run P, run Q.



Run P
Here is crystalline FeCuMo at its relaxed geometry from the Alexandria database. Energies are from PBE.

Its size of the total moment is 2.49 μB/f.u.

The structure belongs to space group I4mm (No. 107); the cell edges are 2.5856, 2.5856 and 11.9448 Å and the angles 90.00°, 90.00° and 90.00°. The distinct sites, in fractional coordinates, are Fe at (0.0000, 0.0000, 0.0000), Cu at (0.0000, 0.0000, 0.3475) and Mo at (0.0000, 0.0000, 0.6749).



Run Q
Here is crystalline FeCuMo at its relaxed geometry from the Alexandria database. Energies are from PBE.

Its size of the total moment is 1.19 μB/f.u.

The structure belongs to space group Imm2 (No. 44); the cell edges are 2.5681, 3.8831 and 7.8015 Å and the angles 90.00°, 90.00° and 90.00°. The distinct sites, in fractional coordinates, are Fe at (0.0000, 0.0000, 0.0000), Cu at (0.0000, 0.0000, 0.6600) and Mo at (0.0000, 0.0000, 0.3285).



Run R
Here is crystalline FeCuMo at its relaxed geometry from the Alexandria database. Energies are from PBE.

Its size of the total moment is 0.00 μB/f.u.

The structure belongs to space group F-43m (No. 216); the cell edges are 5.5999, 5.5999 and 5.5999 Å and the angles 90.00°, 90.00° and 90.00°. The distinct sites, in fractional coordinates, are Fe at (0.0000, 0.0000, 0.0000), Cu at (0.2500, 0.2500, 0.7500) and Mo at (0.2500, 0.2500, 0.2500).



Run S
Here is crystalline FeCuMo at its relaxed geometry from the Alexandria database. Energies are from PBE.

Its size of the total moment is 1.86 μB/f.u.

The structure belongs to space group P3m1 (No. 156); the cell edges are 4.2403, 4.2403 and 2.5297 Å and the angles 90.00°, 90.00° and 120.00°. The distinct sites, in fractional coordinates, are Fe at (0.0000, 0.0000, 0.0000), Cu at (0.6667, 0.3333, 0.8511) and Mo at (0.3333, 0.6667, 0.3805).



Most stable structure, least stable structure: run S, run R.



Run P
Here is crystalline FeCuMo3 at its relaxed geometry from the Alexandria database. Energies are from PBE.

Its size of the total moment is 0.00 μB/f.u.

The structure belongs to space group Pm-3m (No. 221); the cell edges are 4.4292, 4.4292 and 4.4292 Å and the angles 90.00°, 90.00° and 90.00°. The distinct sites, in fractional coordinates, are Fe at (0.0000, 0.0000, 0.0000), Cu at (0.5000, 0.5000, 0.5000) and Mo at (0.0000, 0.0000, 0.5000).



Run Q
Here is crystalline FeCuMo3 at its relaxed geometry from the Alexandria database. Energies are from PBE.

Its size of the total moment is 0.03 μB/f.u.

The structure belongs to space group Pm-3m (No. 221); the cell edges are 4.4466, 4.4466 and 4.4466 Å and the angles 90.00°, 90.00° and 90.00°. The distinct sites, in fractional coordinates, are Fe at (0.0000, 0.0000, 0.0000), Cu at (0.5000, 0.5000, 0.5000) and Mo at (0.0000, 0.5000, 0.5000).



Most stable structure, least stable structure: run P, run Q.